No. 1
Here is a relaxed structure of K2TlAs from the Alexandria database. Energies are from PBEsol.

Cell and atoms, written as POSCAR:
```
K2TlAs
1.0
4.3194 0.0000 0.0000
0.0000 5.1411 0.0000
0.0000 -2.5706 6.2841
K As Tl
2 1 1
direct
0.0000 0.9856 0.9712
0.5000 0.2829 0.5657
0.5000 0.5547 0.1095
0.0000 0.6909 0.3819
```

- magnetic moment (μB/atom) = 0.00
- E_form (eV per atom) = -0.2782

=====

No. 2
Here is a relaxed structure of KTl2As from the Alexandria database. Energies are from PBEsol.

Cell and atoms, written as POSCAR:
```
KTl2As
1.0
-5.3334 0.7285 -0.2701
2.5508 -2.7002 -3.8753
-0.7012 -5.3202 -0.5026
As Tl K
1 2 1
direct
0.5000 0.0000 0.5000
0.2500 0.5000 0.2500
0.7500 0.5000 0.7500
0.0000 0.0000 0.0000
```

- magnetic moment (μB/atom) = 0.00
- E_form (eV per atom) = -0.0827

=====

No. 3
Here is a relaxed structure of K2TlAs2 from the Alexandria database. Energies are from PBEsol.

Cell and atoms, written as POSCAR:
```
K2TlAs2
1.0
5.2260 0.0000 0.0000
0.0000 7.5282 0.0000
0.0000 0.0000 7.5282
As K Tl
4 4 2
direct
0.0000 0.1143 0.3857
0.0000 0.6143 0.1143
0.0000 0.8857 0.6143
0.0000 0.3857 0.8857
0.5000 0.8249 0.3249
0.5000 0.6751 0.8249
0.5000 0.3249 0.1751
0.5000 0.1751 0.6751
0.0000 0.5000 0.5000
0.0000 0.0000 0.0000
```

- magnetic moment (μB/atom) = 0.00
- E_form (eV per atom) = -0.2752

=====

No. 4
Here is a relaxed structure of KTl2As from the Alexandria database. Energies are from PBEsol.

Cell and atoms, written as POSCAR:
```
KTl2As
1.0
-2.2460 -1.5884 -3.2849
4.8149 -2.1126 -2.2706
-2.5469 -3.7148 3.5377
Tl As K
2 1 1
direct
0.0000 0.3065 0.6935
0.0000 0.6935 0.3065
0.5000 0.5000 0.5000
0.5000 0.0000 0.0000
```

- magnetic moment (μB/atom) = 0.00
- E_form (eV per atom) = -0.1278

=====

No. 5
Here is a relaxed structure of KTlAs from the Alexandria database. Energies are from PBEsol.

Cell and atoms, written as POSCAR:
```
KTlAs
1.0
-0.5143 -2.9732 0.7884
5.0015 -0.3605 1.9027
-3.9927 1.5470 3.2296
As Tl K
1 1 1
direct
0.1627 0.0000 0.0000
0.1716 0.6667 0.3333
0.6657 0.3333 0.6667
```

- magnetic moment (μB/atom) = 0.00
- E_form (eV per atom) = -0.0942

=====

No. 6
Here is a relaxed structure of KTlAs from the Alexandria database. Energies are from PBEsol.

Cell and atoms, written as POSCAR:
```
KTlAs
1.0
-1.1300 3.4522 -3.5563
-1.4342 -1.5053 -4.6389
-4.8177 0.6227 -1.4980
As Tl K
1 1 1
direct
0.0000 0.0000 0.0000
0.2500 0.2500 0.2500
0.5000 0.5000 0.5000
```

- magnetic moment (μB/atom) = 0.00
- E_form (eV per atom) = 0.0023

=====

No. 7
Here is a relaxed structure of KTl2As2 from the Alexandria database. Energies are from PBEsol.

Cell and atoms, written as POSCAR:
```
KTl2As2
1.0
-0.2702 -2.0363 4.4334
3.7925 -2.8809 -1.0921
2.0265 6.6308 0.4765
As Tl K
2 2 1
direct
0.3989 0.3989 0.7978
0.6011 0.6011 0.2022
0.7500 0.2500 0.5000
0.2500 0.7500 0.5000
0.0000 0.0000 0.0000
```

- magnetic moment (μB/atom) = 0.00
- E_form (eV per atom) = -0.1488

=====

No. 8
Here is a relaxed structure of KTl2As from the Alexandria database. Energies are from PBEsol.

Cell and atoms, written as POSCAR:
```
KTl2As
1.0
-2.1217 2.0990 -3.2957
-1.3930 -2.2795 -3.5542
-7.7446 -1.3552 1.1234
As Tl K
1 2 1
direct
0.5000 0.5000 0.5000
0.7719 0.7719 0.6842
0.2281 0.2281 0.3158
0.0000 0.0000 0.0000
```

- magnetic moment (μB/atom) = 0.00
- E_form (eV per atom) = -0.1128

=====

No. 9
Here is a relaxed structure of K2TlAs from the Alexandria database. Energies are from PBEsol.

Cell and atoms, written as POSCAR:
```
K2TlAs
1.0
4.2118 0.0000 0.0000
0.0000 5.5671 0.0000
-2.1059 -2.7835 5.5415
Tl K As
1 2 1
direct
0.4461 0.9461 0.8922
0.0419 0.5419 0.0838
0.2279 0.2279 0.4558
0.7841 0.7841 0.5682
```

- magnetic moment (μB/atom) = 0.00
- E_form (eV per atom) = -0.2740

=====

No. 10
Here is a relaxed structure of KTl2As from the Alexandria database. Energies are from PBEsol.

Cell and atoms, written as POSCAR:
```
KTl2As
1.0
-3.0625 -0.8060 0.1937
1.5492 -6.0379 -0.6322
-0.2830 2.4584 5.7560
Tl K As
2 1 1
direct
0.0000 0.0000 0.5000
0.0000 0.5000 0.0000
0.5000 0.5000 0.5000
0.5000 0.0000 0.0000
```

- magnetic moment (μB/atom) = 0.00
- E_form (eV per atom) = 0.0700

=====

No. 11
Here is a relaxed structure of KTl2As from the Alexandria database. Energies are from PBEsol.

Cell and atoms, written as POSCAR:
```
KTl2As
1.0
-2.9354 -1.9122 -1.7876
1.0862 -3.3335 1.7823
-4.5787 1.6082 5.7981
K Tl As
1 2 1
direct
0.5000 0.5000 0.7304
0.0000 0.0000 0.0522
0.5000 0.5000 0.2838
0.0000 0.0000 0.4336
```

- magnetic moment (μB/atom) = 0.00
- E_form (eV per atom) = -0.0955

=====

No. 12
Here is a relaxed structure of KAs3W from the Alexandria database. Energies are from PBEsol.

Cell and atoms, written as POSCAR:
```
KAs3W
1.0
4.9289 0.0000 0.0000
0.0000 4.9289 0.0000
0.0000 0.0000 4.9289
As K W
3 1 1
direct
0.5000 0.0000 0.0000
0.0000 0.0000 0.5000
0.0000 0.5000 0.0000
0.5000 0.5000 0.5000
0.0000 0.0000 0.0000
```

- magnetic moment (μB/atom) = 0.00
- E_form (eV per atom) = 0.1188

=====

No. 13
Here is a relaxed structure of K2AsW from the Alexandria database. Energies are from PBEsol.

Cell and atoms, written as POSCAR:
```
K2AsW
1.0
-0.8607 3.7304 1.8029
-3.3006 2.2859 -1.3372
-6.9006 -2.3634 6.4489
W As K
1 1 2
direct
0.4583 0.4583 0.6250
0.7916 0.7916 0.6250
0.0363 0.0363 0.8986
0.2138 0.2138 0.3514
```

- magnetic moment (μB/atom) = 0.24
- E_form (eV per atom) = 0.5718

=====

No. 14
Here is a relaxed structure of K2AsW from the Alexandria database. Energies are from PBEsol.

Cell and atoms, written as POSCAR:
```
K2AsW
1.0
-2.7732 -0.3020 1.0533
-0.0013 -3.3604 -3.9858
1.7939 -4.1807 3.5241
K W As
2 1 1
direct
0.8831 0.2391 0.0000
0.1169 0.7609 0.0000
0.5000 0.5000 0.5000
0.5000 0.0000 0.5000
```

- magnetic moment (μB/atom) = 0.00
- E_form (eV per atom) = 0.9811

=====

No. 15
Here is a relaxed structure of K2AsW from the Alexandria database. Energies are from PBEsol.

Cell and atoms, written as POSCAR:
```
K2AsW
1.0
3.4251 0.0000 0.0000
0.0000 3.4251 0.0000
0.0000 0.0000 10.1949
K As W
2 1 1
direct
0.0000 0.0000 0.9154
0.5000 0.5000 0.3326
0.5000 0.5000 0.6614
0.0000 0.0000 0.5905
```

- magnetic moment (μB/atom) = 0.00
- E_form (eV per atom) = 0.4832

=====

No. 16
Here is a relaxed structure of K2AsW from the Alexandria database. Energies are from PBEsol.

Cell and atoms, written as POSCAR:
```
K2AsW
1.0
5.2210 0.0000 0.0000
2.6105 4.5216 0.0000
2.6105 1.5072 4.2630
K As W
2 1 1
direct
0.7500 0.7500 0.7500
0.0000 0.0000 0.0000
0.2500 0.2500 0.2500
0.5000 0.5000 0.5000
```

- magnetic moment (μB/atom) = 1.21
- E_form (eV per atom) = 1.2503

=====

No. 17
Here is a relaxed structure of KZnAs2W from the Alexandria database. Energies are from PBEsol.

Cell and atoms, written as POSCAR:
```
KZnAs2W
1.0
-1.5731 -0.5849 4.9451
4.9310 -0.9057 1.4615
0.7175 5.2830 0.8531
As W Zn K
2 1 1 1
direct
0.5000 0.0000 0.0000
0.0000 0.5000 0.0000
0.0000 0.0000 0.5000
0.5000 0.5000 0.5000
0.0000 0.0000 0.0000
```

- magnetic moment (μB/atom) = 0.77
- E_form (eV per atom) = 2.6818

=====

No. 18
Here is a relaxed structure of K2YAs from the Alexandria database. Energies are from PBEsol.

Cell and atoms, written as POSCAR:
```
K2YAs
1.0
-0.6094 3.9086 -0.0842
-3.0471 -0.4215 2.4886
6.6601 1.2184 8.3610
As Y K
1 1 2
direct
0.5000 0.5000 0.6425
0.0000 0.0000 0.6061
0.0000 0.0000 0.9452
0.5000 0.5000 0.3061
```

- magnetic moment (μB/atom) = 0.00
- E_form (eV per atom) = -0.4470

=====

No. 19
Here is a relaxed structure of KZn2As from the Alexandria database. Energies are from PBEsol.

Cell and atoms, written as POSCAR:
```
KZn2As
1.0
3.4155 0.0000 0.0000
0.0000 4.8322 0.0000
0.0000 0.0000 5.1667
K As Zn
1 1 2
direct
0.0000 0.5000 0.5000
0.5000 0.5000 0.0000
0.5000 0.0000 0.5000
0.0000 0.0000 0.0000
```

- magnetic moment (μB/atom) = 0.00
- E_form (eV per atom) = 0.3176

=====

No. 20
Here is a relaxed structure of KZn2As from the Alexandria database. Energies are from PBEsol.

Cell and atoms, written as POSCAR:
```
KZn2As
1.0
4.4933 0.0000 0.0000
2.2467 3.8913 0.0000
2.2467 1.2971 5.7773
Zn As K
2 1 1
direct
0.8003 0.8003 0.5991
0.1997 0.1997 0.4009
0.5000 0.5000 0.5000
0.0000 0.0000 0.0000
```

- magnetic moment (μB/atom) = 0.00
- E_form (eV per atom) = 0.0085